Entry from Alexandria via LeMat-Bulk: an optimized crystal structure of Gd2MgRu (GGA-PBE).

It has space group P4/mmm (No. 123), with a = 3.437 Å, b = 3.437 Å, c = 8.358 Å, α = 90.00°, β = 90.00° and γ = 90.00°. The distinct sites, in fractional coordinates, are Gd at (0.000, 0.000, 0.202), Mg at (0.500, 0.500, 0.500) and Ru at (0.500, 0.500, 0.000).

The calculation puts the final energy at -10.01 eV per atom. The formation energy is -0.25 eV/atom.